[1]
Here is Pu2SbPd2 after structural relaxation from Alexandria. Energies are from PBE-GGA.

Cell lengths 5.8625, 5.8625, 5.8625 Å; angles 49.09, 49.09, 49.09 degrees
Element x y z (fractional)
Pu 0.2094 0.2094 0.2094
Pu 0.7906 0.7906 0.7906
Sb 0.0000 0.0000 0.0000
Pd 0.4086 0.4086 0.4086
Pd 0.5914 0.5914 0.5914

Polymorph energy (0 for the lowest one) (eV/f.u.): 0.104
Formation energy (no corrections) (eV per formula unit): -2.9
Density (Mg/m³): 12.9


[2]
Here is Pu2Sb2Pd after structural relaxation from Alexandria. Energies are from PBE-GGA.

Cell lengths 8.6418, 8.6418, 6.2061 Å; angles 90.00, 90.00, 147.28 degrees
Element x y z (fractional)
Pu 0.9999 0.0001 0.0000
Pu 0.0001 0.9999 0.5000
Pu 0.2090 0.7910 0.7455
Pu 0.7910 0.2090 0.2455
Sb 0.1707 0.8293 0.2463
Sb 0.4167 0.5833 0.2506
Sb 0.5833 0.4167 0.7506
Sb 0.8293 0.1707 0.7463
Pd 0.4114 0.5886 0.7540
Pd 0.5886 0.4114 0.2540

Polymorph energy (0 for the lowest one) (eV/f.u.): 0.035
Formation energy (no corrections) (eV per formula unit): -3.0
Density (Mg/m³): 11.1


Question: What is the formula in the first record?
Answer: Pu2SbPd2


Question: What is the formula in the second record?
Answer: Pu2Sb2Pd


Question: Among the records above, which one has the lowest density?
Answer: Pu2Sb2Pd